# 1
Entry from the Alexandria database: a relaxed structure of Tb3Tm2Pu (PBE).

Cell lengths 11.1437, 8.8131, 8.8131 Å; angles 41.99, 50.79, 50.79 degrees
Fractional positions:
Tb1 0.5000 0.7500 0.2500
Tb2 0.5000 0.2500 0.7500
Tb3 0.2335 0.0165 0.5165
Tb4 0.2335 0.5165 0.0165
Tb5 0.7665 0.9835 0.4835
Tb6 0.7665 0.4835 0.9835
Tm1 0.1088 0.6472 0.6472
Tm2 0.8912 0.3528 0.3528
Tm3 0.5968 0.1472 0.1472
Tm4 0.4032 0.8528 0.8528
Pu1 0.0000 0.0000 0.0000
Pu2 0.0000 0.5000 0.5000

Summary:
**DOS(E_F)**: 25.844 states/eV per cell
**Magnetization**: 12.26 μB per cell
**Space group**: Ibam
**Formation energy**: 60.4 kJ/mol of atoms


# 2
Entry from the Alexandria database: a relaxed structure of Ac2YSnPd6 (PBE).

Cell lengths 5.8994, 9.3902, 9.3982 Å; angles 36.60, 71.61, 89.91 degrees
Fractional positions:
Ac1 0.2861 0.7136 0.4254
Ac2 0.7139 0.2864 0.5746
Y1 0.5000 0.5000 0.0000
Pd1 0.2620 0.2505 0.9851
Pd2 0.7380 0.7495 0.0149
Pd3 0.2512 0.7497 0.0172
Pd4 0.7488 0.2503 0.9828
Pd5 0.2512 0.2630 0.5018
Pd6 0.7488 0.7370 0.4982
Sn1 0.0000 0.0000 0.0000

Summary:
**DOS(E_F)**: 6.524 states/eV per cell
**Magnetization**: 0.00 μB per cell
**Space group**: C2/m
**Formation energy**: -55.9 kJ/mol of atoms


# 3
Entry from the Alexandria database: a relaxed structure of LaCuTc2 (PBE).

Cell lengths 3.1326, 3.1326, 7.4258 Å; angles 90.00, 90.00, 90.00 degrees
Fractional positions:
Tc1 0.5000 0.5000 0.2412
Tc2 0.0000 0.0000 0.0629
Cu1 0.0000 0.0000 0.4445
La1 0.5000 0.5000 0.7514

Summary:
**Energy above the most stable polymorph in this dataset**: 80 meV/atom
**DOS(E_F)**: 2.898 states/eV per cell
**Magnetization**: 0.00 μB per cell
**Space group**: P4mm
**Formation energy**: 13.0 kJ/mol of atoms


# 4
Entry from the Alexandria database: a relaxed structure of YCr2PdN (PBE).

Cell lengths 3.9325, 4.6156, 3.9325 Å; angles 90.00, 90.00, 90.00 degrees
Fractional positions:
N1 0.0000 0.0000 0.0000
Cr1 0.5000 0.0000 0.0000
Cr2 0.0000 0.0000 0.5000
Y1 0.5000 0.5000 0.5000
Pd1 0.0000 0.5000 0.0000

Summary:
**DOS(E_F)**: 3.885 states/eV per cell
**Magnetization**: 0.00 μB per cell
**Space group**: P4/mmm
**E_form (uncorrected)**: -0.06 eV/atom


# 5
Entry from the Alexandria database: a relaxed structure of NdHo3Os (PBE).

Cell lengths 7.8452, 7.2046, 10.3800 Å; angles 98.34, 90.00, 90.00 degrees
Fractional positions:
Ho1 0.0002 0.8066 0.8531
Ho2 0.3049 0.5940 0.0276
Ho3 0.6951 0.4060 0.9724
Ho4 0.1951 0.5940 0.5276
Ho5 0.4998 0.8066 0.3531
Ho6 0.6495 0.8999 0.0724
Ho7 0.8049 0.4060 0.4724
Ho8 0.3505 0.1001 0.9276
Ho9 0.1495 0.1001 0.4276
Ho10 0.9998 0.1934 0.1469
Ho11 0.5002 0.1934 0.6469
Ho12 0.8505 0.8999 0.5724
Nd1 0.0232 0.2921 0.7619
Nd2 0.9768 0.7079 0.2381
Nd3 0.4768 0.2921 0.2619
Nd4 0.5232 0.7079 0.7381
Os1 0.7869 0.0456 0.3356
Os2 0.2131 0.9544 0.6644
Os3 0.2869 0.9544 0.1644
Os4 0.7131 0.0456 0.8356

Summary:
**Energy above the most stable polymorph in this dataset**: 0 meV/atom
**DOS(E_F)**: 20.386 states/eV per cell
**Magnetization**: 0.00 μB per cell
**Space group**: P2_1/c
**Formation energy**: -9.5 kJ/mol of atoms


# 6
Entry from the Alexandria database: a relaxed structure of GaSnPb3 (PBE).

Cell lengths 5.5000, 5.5000, 5.5000 Å; angles 90.00, 90.00, 90.00 degrees
Fractional positions:
Sn1 0.5000 0.5000 0.5000
Pb1 0.0000 0.0000 0.5000
Pb2 0.0000 0.5000 0.0000
Pb3 0.5000 0.0000 0.0000
Ga1 0.0000 0.0000 0.0000

Summary:
**Energy above the most stable polymorph in this dataset**: 303 meV/atom
**DOS(E_F)**: 2.903 states/eV per cell
**Magnetization**: 0.00 μB per cell
**Space group**: Pm-3m
**Formation energy**: 35.5 kJ/mol of atoms